Run one
A plane-wave DFT calculation with GGA-PBE was carried out for a geometry-optimized MgHRh3 structure.

Cell: 7.3714 7.3714 7.3714 Å, 60.00 60.00 60.00°
With the nearest neighbours (Å) after each atom.
Element x y z (fractional)
Mg (0.0000, 0.0000, 0.0000)  6 Rh 2.70
Mg (0.0000, 0.0000, 0.5000)  6 Rh 2.70
Mg (0.0000, 0.5000, 0.0000)  6 Rh 2.70
Mg (0.5000, 0.0000, 0.0000)  6 Rh 2.70
H (0.0000, 0.5000, 0.5000)  6 Rh 1.95
H (0.5000, 0.0000, 0.5000)  6 Rh 1.95
H (0.5000, 0.5000, 0.0000)  6 Rh 1.95
H (0.5000, 0.5000, 0.5000)  6 Rh 1.95
Rh (0.1891, 0.1891, 0.5609)  2 H 1.95
Rh (0.1891, 0.5609, 0.1891)  2 H 1.95
Rh (0.1891, 0.5609, 0.5609)  2 H 1.95
Rh (0.4391, 0.4391, 0.8109)  2 H 1.95
Rh (0.4391, 0.8109, 0.4391)  2 H 1.95
Rh (0.4391, 0.8109, 0.8109)  2 H 1.95
Rh (0.5609, 0.1891, 0.1891)  2 H 1.95
Rh (0.5609, 0.1891, 0.5609)  2 H 1.95
Rh (0.5609, 0.5609, 0.1891)  2 H 1.95
Rh (0.8109, 0.4391, 0.4391)  2 H 1.95
Rh (0.8109, 0.4391, 0.8109)  2 H 1.95
Rh (0.8109, 0.8109, 0.4391)  2 H 1.95

## Properties
space-group type	Fd-3m (227)
total moment	0.0	Bohr magnetons per cell

***

Run two
A plane-wave DFT calculation with GGA-PBE was carried out for a geometry-optimized MgHRh3 structure.

Cell: 5.3125 5.3125 6.5267 Å, 124.84 124.84 63.70°
With the nearest neighbours (Å) after each atom.
Element x y z (fractional)
Mg (0.0000, 0.0000, 0.0000)  11 Rh 2.70-2.85, 1 Mg 2.91
Mg (0.0885, 0.0885, 0.6458)  1 H 2.14
H (0.5161, 0.5161, 0.3034)  4 Rh 1.91-2.03
H (0.7741, 0.7741, 0.2920)  5 Rh 1.89-2.01
Rh (0.0105, 0.5094, 0.4979)  2 H 2.01-2.16
Rh (0.0730, 0.5725, 0.1389)  2 H 1.91-1.94
Rh (0.4969, 0.4969, 0.9751)  2 H 1.89-2.03
Rh (0.5094, 0.0105, 0.4979)  2 H 2.01-2.16
Rh (0.5725, 0.0730, 0.1389)  2 H 1.91-1.94
Rh (0.5748, 0.5748, 0.6481)  1 H 1.93

## Properties
space-group type	Cm (8)
total moment	0.0	Bohr magnetons per cell

***

Run three
A plane-wave DFT calculation with GGA-PBE was carried out for a geometry-optimized MgHRh3 structure.

Cell: 4.3573 4.3573 7.7463 Å, 90.00 90.00 120.00°
With the nearest neighbours (Å) after each atom.
Element x y z (fractional)
Mg (0.3333, 0.6667, 0.2500)  5 Rh 2.52-2.55
Mg (0.6667, 0.3333, 0.7500)  5 Rh 2.52-2.55
H (0.0000, 0.0000, 0.0000)  2 Rh 1.94
H (0.0000, 0.0000, 0.5000)  2 Rh 1.94
Rh (0.0000, 0.0000, 0.2500)  2 H 1.94
Rh (0.0000, 0.0000, 0.7500)  2 H 1.94
Rh (0.3333, 0.6667, 0.5795)  4 Mg 2.55-2.84, 3 H 2.59, 7 Rh 2.64-2.84
Rh (0.3333, 0.6667, 0.9205)  4 Mg 2.55-2.84, 3 H 2.59, 7 Rh 2.64-2.84
Rh (0.6667, 0.3333, 0.0795)  4 Mg 2.55-2.84, 3 H 2.59, 7 Rh 2.64-2.84
Rh (0.6667, 0.3333, 0.4205)  4 Mg 2.55-2.84, 3 H 2.59, 7 Rh 2.64-2.84

## Properties
space-group type	P6_3/mmc (194)
total moment	2.4	Bohr magnetons per cell

***

Bottom line: run two, by a margin of 0.273 eV/atom.

***

Run one
A plane-wave DFT calculation with GGA-PBE was carried out for a geometry-optimized MgHRh3 structure.

Cell: 5.2898 5.3321 5.5285 Å, 104.69 106.17 115.65°
With the nearest neighbours (Å) after each atom.
Element x y z (fractional)
Mg (0.2356, 0.4792, 0.1904)  1 H 2.08
Mg (0.7644, 0.5208, 0.8096)  1 H 2.08
H (0.0000, 0.0000, 0.0000)  4 Rh 1.90-2.00, 2 Mg 2.08
H (0.0000, 0.0000, 0.5000)  6 Rh 1.95-2.06
Rh (0.2098, 0.4706, 0.6795)  1 H 2.06
Rh (0.2880, 0.0319, 0.3212)  2 H 1.90-2.01
Rh (0.2950, 0.0323, 0.8298)  2 H 1.95-2.00
Rh (0.7050, 0.9677, 0.1702)  2 H 1.95-2.00
Rh (0.7120, 0.9681, 0.6788)  2 H 1.90-2.01
Rh (0.7902, 0.5294, 0.3205)  1 H 2.06

## Properties
space-group type	P-1 (2)
total moment	0.0	Bohr magnetons per cell

***

Run two
A plane-wave DFT calculation with GGA-PBE was carried out for a geometry-optimized MgHRh3 structure.

Cell: 7.2208 7.2208 4.8928 Å, 90.26 90.26 101.45°
With the nearest neighbours (Å) after each atom.
Element x y z (fractional)
Mg (0.0651, 0.2057, 0.0786)  8 Rh 2.68-2.90, 3 Mg 2.91-3.00
Mg (0.2057, 0.0651, 0.5786)  8 Rh 2.68-2.90, 3 Mg 2.91-3.00
Mg (0.7943, 0.9349, 0.4214)  8 Rh 2.68-2.90, 3 Mg 2.91-3.00
Mg (0.9349, 0.7943, 0.9214)  8 Rh 2.68-2.90, 3 Mg 2.91-3.00
H (0.3047, 0.6953, 0.2500)  6 Rh 1.94-2.04
H (0.4455, 0.5545, 0.7500)  6 Rh 1.95-2.06
H (0.5545, 0.4455, 0.2500)  6 Rh 1.95-2.06
H (0.6953, 0.3047, 0.7500)  6 Rh 1.94-2.04
Rh (0.0605, 0.6827, 0.4205)  1 H 1.94
Rh (0.1832, 0.5619, 0.9075)  2 H 2.04-2.06
Rh (0.3075, 0.4407, 0.4267)  3 H 1.95-2.04
Rh (0.3173, 0.9395, 0.0795)  1 H 1.94
Rh (0.4381, 0.8168, 0.5925)  2 H 2.04-2.06
Rh (0.4407, 0.3075, 0.9267)  3 H 1.95-2.04
Rh (0.5593, 0.6925, 0.0733)  3 H 1.95-2.04
Rh (0.5619, 0.1832, 0.4075)  2 H 2.04-2.06
Rh (0.6827, 0.0605, 0.9205)  1 H 1.94
Rh (0.6925, 0.5593, 0.5733)  3 H 1.95-2.04
Rh (0.8168, 0.4381, 0.0925)  2 H 2.04-2.06
Rh (0.9395, 0.3173, 0.5795)  1 H 1.94

## Properties
space-group type	C2/c (15)
total moment	0.0	Bohr magnetons per cell

***

Run three
A plane-wave DFT calculation with GGA-PBE was carried out for a geometry-optimized MgHRh3 structure.

Cell: 3.9397 3.9397 3.9397 Å, 90.00 90.00 90.00°
With the nearest neighbours (Å) after each atom.
Element x y z (fractional)
Mg (0.0000, 0.0000, 0.0000)  12 Rh 2.79
H (0.5000, 0.5000, 0.5000)  6 Rh 1.97
Rh (0.0000, 0.5000, 0.5000)  2 H 1.97
Rh (0.5000, 0.0000, 0.5000)  2 H 1.97
Rh (0.5000, 0.5000, 0.0000)  2 H 1.97

## Properties
space-group type	Pm-3m (221)
total moment	0.0	Bohr magnetons per cell

***

Run four
A plane-wave DFT calculation with GGA-PBE was carried out for a geometry-optimized MgHRh3 structure.

Cell: 6.1856 6.1856 6.1856 Å, 130.07 130.07 73.29°
With the nearest neighbours (Å) after each atom.
Element x y z (fractional)
Mg (0.1506, 0.1506, 0.0000)  8 Rh 2.62-2.93, 2 H 2.79
Mg (0.8494, 0.8494, 0.0000)  8 Rh 2.62-2.93, 2 H 2.79
H (0.5000, 0.5000, 0.0000)  4 Rh 1.76
H (0.7500, 0.2500, 0.5000)  4 Rh 1.85
Rh (0.1239, 0.6239, 0.5000)  3 Rh 2.50-2.70, 2 Mg 2.62
Rh (0.1288, 0.3841, 0.7448)  2 H 1.76-1.85
Rh (0.3761, 0.8761, 0.5000)  3 Rh 2.50-2.70, 2 Mg 2.62
Rh (0.6159, 0.3607, 0.7448)  2 H 1.76-1.85
Rh (0.6159, 0.8712, 0.2552)  2 H 1.76-1.85
Rh (0.6393, 0.3841, 0.2552)  2 H 1.76-1.85

## Properties
space-group type	I-4m2 (119)
total moment	2.3	Bohr magnetons per cell

***

Bottom line: run three, by a margin of 0.028 eV/atom.

***

Run one
A plane-wave DFT calculation with GGA-PBE was carried out for a geometry-optimized MgHRh3 structure.

Cell: 7.0937 7.0937 5.0335 Å, 90.00 90.00 137.50°
With the nearest neighbours (Å) after each atom.
Element x y z (fractional)
Mg (0.1763, 0.8237, 0.7500)  8 Rh 2.65-2.87
Mg (0.8237, 0.1763, 0.2500)  8 Rh 2.65-2.87
H (0.4486, 0.5514, 0.7500)  2 Rh 1.74
H (0.5514, 0.4486, 0.2500)  2 Rh 1.74
Rh (0.0000, 0.0000, 0.0000)  6 Rh 2.52-2.61, 2 Mg 2.65
Rh (0.0000, 0.0000, 0.5000)  6 Rh 2.52-2.61, 2 Mg 2.65
Rh (0.1130, 0.3970, 0.7500)  1 H 1.74
Rh (0.3970, 0.1130, 0.2500)  1 H 1.74
Rh (0.6030, 0.8870, 0.7500)  1 H 1.74
Rh (0.8870, 0.6030, 0.2500)  1 H 1.74

## Properties
space-group type	Cmcm (63)
total moment	0.0	Bohr magnetons per cell

***

Run two
A plane-wave DFT calculation with GGA-PBE was carried out for a geometry-optimized MgHRh3 structure.

Cell: 7.9807 7.9807 4.8070 Å, 97.90 97.90 61.52°
With the nearest neighbours (Å) after each atom.
Element x y z (fractional)
Mg (0.0990, 0.9010, 0.7500)  6 Rh 2.68-2.83, 2 Mg 2.90, 2 H 2.90
Mg (0.3201, 0.6799, 0.2500)  4 H 2.57-2.69, 4 Rh 2.64-2.76
Mg (0.6799, 0.3201, 0.7500)  4 H 2.57-2.69, 4 Rh 2.64-2.76
Mg (0.9010, 0.0990, 0.2500)  6 Rh 2.68-2.83, 2 Mg 2.90, 2 H 2.90
H (0.3140, 0.4878, 0.7474)  3 Rh 1.82-1.88
H (0.4878, 0.3140, 0.2474)  3 Rh 1.82-1.88
H (0.5122, 0.6860, 0.7526)  3 Rh 1.82-1.88
H (0.6860, 0.5122, 0.2526)  3 Rh 1.82-1.88
Rh (0.0781, 0.5853, 0.8730)  1 H 1.82
Rh (0.0788, 0.2493, 0.6366)  2 Mg 2.68-2.83, 9 Rh 2.69-2.79
Rh (0.2476, 0.4114, 0.3806)  2 H 1.86-1.88
Rh (0.2493, 0.0788, 0.1366)  2 Mg 2.68-2.83, 9 Rh 2.69-2.79
Rh (0.4114, 0.2476, 0.8806)  2 H 1.86-1.88
Rh (0.4147, 0.9219, 0.6270)  1 H 1.82
Rh (0.5853, 0.0781, 0.3730)  1 H 1.82
Rh (0.5886, 0.7524, 0.1194)  2 H 1.86-1.88
Rh (0.7507, 0.9212, 0.8634)  2 Mg 2.68-2.83, 9 Rh 2.69-2.79
Rh (0.7524, 0.5886, 0.6194)  2 H 1.86-1.88
Rh (0.9212, 0.7507, 0.3634)  2 Mg 2.68-2.83, 9 Rh 2.69-2.79
Rh (0.9219, 0.4147, 0.1270)  1 H 1.82

## Properties
space-group type	C2/c (15)
total moment	0.0	Bohr magnetons per cell

***

Bottom line: run two, by a margin of 0.474 eV/atom.

***

Run one
A plane-wave DFT calculation with GGA-PBE was carried out for a geometry-optimized MgHRh3 structure.

Cell: 8.5506 8.5506 3.9638 Å, 103.36 103.36 26.09°
With the nearest neighbours (Å) after each atom.
Element x y z (fractional)
Mg (0.0691, 0.0691, 0.3190)  10 Rh 2.76-2.82, 2 Mg 2.99
Mg (0.9309, 0.9309, 0.6810)  10 Rh 2.76-2.82, 2 Mg 2.99
H (0.3302, 0.3302, 0.0779)  5 Rh 1.81-2.02
H (0.6698, 0.6698, 0.9221)  5 Rh 1.81-2.02
Rh (0.1899, 0.1899, 0.9389)  2 H 1.96
Rh (0.3087, 0.3087, 0.5585)  2 H 2.00-2.02
Rh (0.4421, 0.4421, 0.1922)  1 H 1.81
Rh (0.5579, 0.5579, 0.8078)  1 H 1.81
Rh (0.6913, 0.6913, 0.4415)  2 H 2.00-2.02
Rh (0.8101, 0.8101, 0.0611)  2 H 1.96

## Properties
space-group type	C2/m (12)
total moment	0.0	Bohr magnetons per cell

***

Run two
A plane-wave DFT calculation with GGA-PBE was carried out for a geometry-optimized MgHRh3 structure.

Cell: 2.9113 2.9113 17.5471 Å, 90.00 90.00 120.00°
With the nearest neighbours (Å) after each atom.
Element x y z (fractional)
Mg (0.0000, 0.0000, 0.0000)  6 Rh 2.73, 6 Mg 2.91
Mg (0.0000, 0.0000, 0.5000)  6 Rh 2.73, 6 Mg 2.91
H (0.3333, 0.6667, 0.2500)  3 Rh 1.68
H (0.6667, 0.3333, 0.7500)  3 Rh 1.68
Rh (0.0000, 0.0000, 0.2500)  3 H 1.68
Rh (0.0000, 0.0000, 0.7500)  3 H 1.68
Rh (0.3333, 0.6667, 0.1227)  1 H 2.23
Rh (0.3333, 0.6667, 0.3773)  1 H 2.23
Rh (0.6667, 0.3333, 0.6227)  1 H 2.23
Rh (0.6667, 0.3333, 0.8773)  1 H 2.23

## Properties
space-group type	P6_3/mmc (194)
total moment	0.0	Bohr magnetons per cell

***

Run three
A plane-wave DFT calculation with GGA-PBE was carried out for a geometry-optimized MgHRh3 structure.

Cell: 5.5515 5.5523 5.5572 Å, 119.96 90.51 119.41°
With the nearest neighbours (Å) after each atom.
Element x y z (fractional)
Mg (0.0000, 0.0000, 0.0000)  1 H 2.23
Mg (0.5000, 0.4998, 0.9998)  1 H 2.23
H (0.2138, 0.5006, 0.7162)  5 Rh 1.85-1.99
H (0.7138, 0.0021, 0.7178)  5 Rh 1.85-2.00
Rh (0.4780, 0.0001, 0.4775)  1 H 1.85
Rh (0.4922, 0.5008, 0.4927)  2 H 1.99
Rh (0.4923, 0.9995, 0.9918)  2 H 1.97-1.98
Rh (0.9780, 0.5002, 0.4776)  1 H 1.85
Rh (0.9920, 0.0006, 0.4927)  2 H 1.98-2.00
Rh (0.9925, 0.4997, 0.9918)  2 H 1.97-1.98

## Properties
space-group type	P1 (1)
total moment	0.0	Bohr magnetons per cell

***

Bottom line: run three, by a margin of 0.065 eV/atom.

***

Run one
A plane-wave DFT calculation with GGA-PBE was carried out for a geometry-optimized MgHRh3 structure.

Cell: 4.5956 4.5956 4.5956 Å, 90.00 90.00 90.00°
With the nearest neighbours (Å) after each atom.
Element x y z (fractional)
Mg (0.0000, 0.0000, 0.0000)  6 Rh 2.30
H (0.5000, 0.5000, 0.5000)  12 Rh 3.25
Rh (0.0000, 0.0000, 0.5000)  2 Mg 2.30
Rh (0.0000, 0.5000, 0.0000)  2 Mg 2.30
Rh (0.5000, 0.0000, 0.0000)  2 Mg 2.30

## Properties
space-group type	Pm-3m (221)
total moment	3.7	Bohr magnetons per cell

***

Run two
A plane-wave DFT calculation with GGA-PBE was carried out for a geometry-optimized MgHRh3 structure.

Cell: 8.0487 8.0487 6.0933 Å, 102.32 102.32 20.44°
With the nearest neighbours (Å) after each atom.
Element x y z (fractional)
Mg (0.1754, 0.1754, 0.2883)  2 H 2.27
Mg (0.8246, 0.8246, 0.7117)  2 H 2.27
H (0.3038, 0.3038, 0.9854)  3 Rh 1.82-1.83
H (0.6962, 0.6962, 0.0146)  3 Rh 1.82-1.83
Rh (0.0132, 0.0132, 0.8139)  1 Rh 2.39
Rh (0.1929, 0.1929, 0.8242)  3 H 1.82-1.83
Rh (0.4174, 0.4174, 0.4755)  9 Rh 2.57-2.86, 2 Mg 2.68
Rh (0.5826, 0.5826, 0.5245)  9 Rh 2.57-2.86, 2 Mg 2.68
Rh (0.8071, 0.8071, 0.1758)  3 H 1.82-1.83
Rh (0.9868, 0.9868, 0.1861)  1 Rh 2.39

## Properties
space-group type	C2/m (12)
total moment	0.0	Bohr magnetons per cell

***

Bottom line: run two, by a margin of 1.865 eV/atom.

***

Run one
A plane-wave DFT calculation with GGA-PBE was carried out for a geometry-optimized MgHRh3 structure.

Cell: 5.0100 5.0100 5.0100 Å, 92.22 92.22 92.22°
With the nearest neighbours (Å) after each atom.
Element x y z (fractional)
Mg (0.0000, 0.0000, 0.0000)  2 H 2.08
Mg (0.5000, 0.5000, 0.5000)  2 H 2.08
H (0.2500, 0.2500, 0.2500)  3 Rh 1.99, 2 Mg 2.08
H (0.7500, 0.7500, 0.7500)  3 Rh 1.99, 2 Mg 2.08
Rh (0.0256, 0.7500, 0.4744)  1 H 1.99
Rh (0.2500, 0.5256, 0.9744)  1 H 1.99
Rh (0.4744, 0.0256, 0.7500)  1 H 1.99
Rh (0.5256, 0.9744, 0.2500)  1 H 1.99
Rh (0.7500, 0.4744, 0.0256)  1 H 1.99
Rh (0.9744, 0.2500, 0.5256)  1 H 1.99

## Properties
space-group type	R-3c (167)
total moment	0.0	Bohr magnetons per cell

***

Run two
A plane-wave DFT calculation with GGA-PBE was carried out for a geometry-optimized MgHRh3 structure.

Cell: 7.3210 7.3210 7.3210 Å, 38.22 38.22 38.22°
With the nearest neighbours (Å) after each atom.
Element x y z (fractional)
Mg (0.1675, 0.1675, 0.1675)  6 Rh 2.74, 3 Mg 2.77
Mg (0.8325, 0.8325, 0.8325)  6 Rh 2.74, 3 Mg 2.77
H (0.3240, 0.3240, 0.3240)  6 Rh 1.90-2.09
H (0.6760, 0.6760, 0.6760)  6 Rh 1.90-2.09
Rh (0.0644, 0.7241, 0.3843)  2 H 1.90-2.09
Rh (0.2759, 0.6157, 0.9356)  2 H 1.90-2.09
Rh (0.3843, 0.0644, 0.7241)  2 H 1.90-2.09
Rh (0.6157, 0.9356, 0.2759)  2 H 1.90-2.09
Rh (0.7241, 0.3843, 0.0644)  2 H 1.90-2.09
Rh (0.9356, 0.2759, 0.6157)  2 H 1.90-2.09

## Properties
space-group type	R-3 (148)
total moment	0.8	Bohr magnetons per cell

***

Run three
A plane-wave DFT calculation with GGA-PBE was carried out for a geometry-optimized MgHRh3 structure.

Cell: 5.1297 7.1099 7.4204 Å, 90.00 90.00 90.00°
With the nearest neighbours (Å) after each atom.
Element x y z (fractional)
Mg (0.0000, 0.0000, 0.0000)  6 Rh 2.63-2.76, 2 H 2.93
Mg (0.0000, 0.5000, 0.0000)  6 Rh 2.63-2.76, 2 H 2.93
Mg (0.5000, 0.0000, 0.5000)  6 Rh 2.63-2.76, 2 H 2.93
Mg (0.5000, 0.5000, 0.5000)  6 Rh 2.63-2.76, 2 H 2.93
H (0.0600, 0.2500, 0.4246)  2 Rh 1.85-1.86
H (0.4400, 0.7500, 0.9246)  2 Rh 1.85-1.86
H (0.5600, 0.2500, 0.0754)  2 Rh 1.85-1.86
H (0.9400, 0.7500, 0.5754)  2 Rh 1.85-1.86
Rh (0.0339, 0.5782, 0.3458)  1 H 2.15
Rh (0.0339, 0.9218, 0.3458)  1 H 2.15
Rh (0.2372, 0.7500, 0.7189)  2 H 1.85-1.86
Rh (0.2628, 0.2500, 0.2189)  2 H 1.85-1.86
Rh (0.4661, 0.0782, 0.8458)  1 H 2.15
Rh (0.4661, 0.4218, 0.8458)  1 H 2.15
Rh (0.5339, 0.5782, 0.1542)  1 H 2.15
Rh (0.5339, 0.9218, 0.1542)  1 H 2.15
Rh (0.7372, 0.7500, 0.7811)  2 H 1.85-1.86
Rh (0.7628, 0.2500, 0.2811)  2 H 1.85-1.86
Rh (0.9661, 0.0782, 0.6542)  1 H 2.15
Rh (0.9661, 0.4218, 0.6542)  1 H 2.15

## Properties
space-group type	Pnma (62)
total moment	0.1	Bohr magnetons per cell

***

Bottom line: run one, by a margin of 0.054 eV/atom.